Entry 1:
Ce2Si2Se7: relaxed, PBE-GGA.

The calculation puts the formation energy (no corrections) at -0.8734 eV/atom. The calculation puts the magnetization at 1.77 μB/cell. Its density of states at the Fermi level is 13.77 states/eV/f.u.

abc: 7.378 7.378 6.261
angles: 96.92 96.92 99.02
Fractional coordinates of all 11 atoms:
1 Ce 0.208 0.792 0.000
2 Ce 0.792 0.208 0.000
3 Si 0.270 0.270 0.579
4 Si 0.730 0.730 0.421
5 Se 0.072 0.416 0.767
6 Se 0.104 0.104 0.264
7 Se 0.416 0.072 0.767
8 Se 0.500 0.500 0.500
9 Se 0.584 0.928 0.233
10 Se 0.896 0.896 0.736
11 Se 0.928 0.584 0.233

Entry 2:
CeSiSe6: relaxed, PBE-GGA.

The calculation puts the formation energy (no corrections) at -0.5737 eV/atom. The calculation puts the magnetization at 0.13 μB/cell. Its density of states at the Fermi level is 2.37 states/eV/f.u.

abc: 5.466 5.466 6.534
angles: 96.63 96.63 95.47
Fractional coordinates of all 8 atoms:
1 Ce 0.000 0.000 0.000
2 Si 0.500 0.500 0.500
3 Se 0.147 0.525 0.236
4 Se 0.212 0.212 0.676
5 Se 0.475 0.853 0.764
6 Se 0.525 0.147 0.236
7 Se 0.788 0.788 0.324
8 Se 0.853 0.475 0.764

Entry 3:
Ce3SiSe2: relaxed, PBE-GGA.

The calculation puts the formation energy (no corrections) at -1.4383 eV/atom. The calculation puts the magnetization at 4.91 μB/cell. Its density of states at the Fermi level is 16.61 states/eV/f.u.

abc: 7.289 7.289 7.287
angles: 99.66 99.66 119.90
Fractional coordinates of all 12 atoms:
1 Ce 0.000 0.500 0.000
2 Ce 0.162 0.324 0.499
3 Ce 0.324 0.162 0.999
4 Ce 0.500 0.000 0.500
5 Ce 0.676 0.838 0.001
6 Ce 0.838 0.676 0.501
7 Si 0.086 0.914 0.250
8 Si 0.914 0.086 0.750
9 Se 0.252 0.748 0.750
10 Se 0.417 0.583 0.250
11 Se 0.583 0.417 0.750
12 Se 0.748 0.252 0.250

Entry 4:
CeSi2Se8: relaxed, PBE-GGA.

The calculation puts the formation energy (no corrections) at -0.2379 eV/atom. The calculation puts the magnetization at 0.00 μB/cell. Its density of states at the Fermi level is 11.43 states/eV/f.u.

abc: 7.150 7.150 7.264
angles: 90.00 90.00 120.00
Fractional coordinates of all 11 atoms:
1 Ce 0.000 0.000 0.000
2 Si 0.333 0.667 0.620
3 Si 0.667 0.333 0.380
4 Se 0.160 0.320 0.721
5 Se 0.160 0.840 0.721
6 Se 0.320 0.160 0.279
7 Se 0.333 0.667 0.306
8 Se 0.667 0.333 0.694
9 Se 0.680 0.840 0.721
10 Se 0.840 0.160 0.279
11 Se 0.840 0.680 0.279

Entry 5:
CeSiSe3: relaxed, PBE-GGA.

The calculation puts the formation energy (no corrections) at -0.9592 eV/atom. The calculation puts the magnetization at 3.37 μB/cell. Its density of states at the Fermi level is 7.49 states/eV/f.u.

abc: 8.005 6.551 9.357
angles: 90.00 90.00 90.00
Fractional coordinates of all 20 atoms:
1 Ce 0.112 0.046 0.000
2 Ce 0.388 0.546 0.500
3 Ce 0.612 0.454 0.000
4 Ce 0.888 0.954 0.500
5 Si 0.064 0.521 0.234
6 Si 0.436 0.021 0.734
7 Si 0.564 0.979 0.234
8 Si 0.936 0.479 0.734
9 Se 0.032 0.389 0.488
10 Se 0.175 0.841 0.301
11 Se 0.182 0.836 0.695
12 Se 0.318 0.336 0.195
13 Se 0.325 0.341 0.801
14 Se 0.468 0.889 0.988
15 Se 0.532 0.111 0.488
16 Se 0.675 0.659 0.301
17 Se 0.682 0.664 0.695
18 Se 0.818 0.164 0.195
19 Se 0.825 0.159 0.801
20 Se 0.968 0.611 0.988

Entry 6:
CeSiSe3: relaxed, PBE-GGA.

The calculation puts the formation energy (no corrections) at -0.6954 eV/atom. The calculation puts the magnetization at 1.25 μB/cell. Its density of states at the Fermi level is 5.93 states/eV/f.u.

abc: 7.566 7.566 7.566
angles: 104.39 90.72 137.64
Fractional coordinates of all 10 atoms:
1 Ce 0.087 0.250 0.337
2 Ce 0.913 0.750 0.663
3 Si 0.120 0.600 0.020
4 Si 0.581 0.100 0.980
5 Se 0.019 0.229 0.709
6 Se 0.019 0.810 0.290
7 Se 0.463 0.733 0.230
8 Se 0.503 0.233 0.770
9 Se 0.520 0.310 0.291
10 Se 0.520 0.729 0.710

Entry 7:
Ce5Si2Se2: relaxed, PBE-GGA.

The calculation puts the formation energy (no corrections) at -1.0742 eV/atom. The calculation puts the magnetization at 8.65 μB/cell. Its density of states at the Fermi level is 23.58 states/eV/f.u.

abc: 8.363 8.363 7.755
angles: 90.00 90.00 55.08
Fractional coordinates of all 18 atoms:
1 Ce 0.000 0.000 0.000
2 Ce 0.041 0.689 0.674
3 Ce 0.189 0.541 0.174
4 Ce 0.311 0.959 0.674
5 Ce 0.459 0.811 0.174
6 Ce 0.500 0.500 0.500
7 Ce 0.541 0.189 0.826
8 Ce 0.689 0.041 0.326
9 Ce 0.811 0.459 0.826
10 Ce 0.959 0.311 0.326
11 Si 0.116 0.884 0.383
12 Si 0.384 0.616 0.883
13 Si 0.616 0.384 0.117
14 Si 0.884 0.116 0.617
15 Se 0.203 0.203 0.000
16 Se 0.297 0.297 0.500
17 Se 0.703 0.703 0.500
18 Se 0.797 0.797 0.000

Entry 8:
Ce5SiSe4: relaxed, PBE-GGA.

The calculation puts the formation energy (no corrections) at -1.5983 eV/atom. The calculation puts the magnetization at 4.18 μB/cell. Its density of states at the Fermi level is 29.67 states/eV/f.u.

abc: 7.286 7.286 7.286
angles: 99.56 99.56 131.90
Fractional coordinates of all 10 atoms:
1 Ce 0.000 0.000 0.000
2 Ce 0.204 0.599 0.803
3 Ce 0.401 0.204 0.605
4 Ce 0.599 0.796 0.395
5 Ce 0.796 0.401 0.197
6 Si 0.500 0.500 0.000
7 Se 0.099 0.301 0.400
8 Se 0.301 0.901 0.202
9 Se 0.699 0.099 0.798
10 Se 0.901 0.699 0.600

Q: Which formula does entry 7 have?
A: Ce5Si2Se2

Please write out number 7 again, unchanged.
Ce5Si2Se2: relaxed, PBE-GGA.

The calculation puts the formation energy (no corrections) at -1.0742 eV/atom. The calculation puts the magnetization at 8.65 μB/cell. Its density of states at the Fermi level is 23.58 states/eV/f.u.

abc: 8.363 8.363 7.755
angles: 90.00 90.00 55.08
Fractional coordinates of all 18 atoms:
1 Ce 0.000 0.000 0.000
2 Ce 0.041 0.689 0.674
3 Ce 0.189 0.541 0.174
4 Ce 0.311 0.959 0.674
5 Ce 0.459 0.811 0.174
6 Ce 0.500 0.500 0.500
7 Ce 0.541 0.189 0.826
8 Ce 0.689 0.041 0.326
9 Ce 0.811 0.459 0.826
10 Ce 0.959 0.311 0.326
11 Si 0.116 0.884 0.383
12 Si 0.384 0.616 0.883
13 Si 0.616 0.384 0.117
14 Si 0.884 0.116 0.617
15 Se 0.203 0.203 0.000
16 Se 0.297 0.297 0.500
17 Se 0.703 0.703 0.500
18 Se 0.797 0.797 0.000

Q: Which of these has the lowest magnetization?
A: CeSi2Se8

Q: Which formula does entry 5 have?
A: CeSiSe3